Entry 1:
Entry from the Alexandria database: an optimized crystal structure of CuP2SO (GGA-PBE).

Results
Its uncorrected formation energy is 1.251 eV per atom. For the offset from the most stable computed form, the calculation gives 662 meV/atom.

abc: 4.4573 4.4573 4.4670
angles: 90.00 90.00 90.00
Last column: nearest neighbours and their distance in Å.
Space group P4/mmm (No. 123)
Unique sites:
Cu  0.0000  0.0000  0.0000 [1 per cell]  4 P 2.23, 2 S 2.23
P  0.0000  0.5000  0.0000 [2 per cell]  2 Cu 2.23
S  0.0000  0.0000  0.5000 [1 per cell]  2 Cu 2.23
O  0.5000  0.5000  0.5000 [1 per cell]  4 S 3.15, 8 P 3.16

---

Entry 2:
Entry from the Alexandria database: an optimized crystal structure of BaLaZn2Au5 (GGA-PBE).

Results
Its formation energy is -0.485 eV/atom.

abc: 4.7415 4.7415 9.3261
angles: 90.00 90.00 90.00
Last column: nearest neighbours and their distance in Å.
Space group P4/mmm (No. 123)
Unique sites:
Ba  0.0000  0.0000  0.0000 [1 per cell]  12 Au 3.35-3.36
La  0.0000  0.0000  0.5000 [1 per cell]  8 Au 3.29, 8 Zn 3.58
Zn  0.5000  0.5000  0.3662 [2 per cell]  1 Zn 2.50, 4 Au 2.59
Au  0.0000  0.5000  0.2549 [4 per cell]  2 Zn 2.59
Au  0.5000  0.5000  0.0000 [1 per cell]  4 Ba 3.35, 8 Au 3.36, 2 Zn 3.42

---

Entry 3:
Entry from the Alexandria database: an optimized crystal structure of CuAgAsO4 (GGA-PBE).

Results
Its uncorrected formation energy is -0.759 eV per atom.

abc: 5.7039 5.7039 6.1586
angles: 90.00 90.00 90.00
Last column: nearest neighbours and their distance in Å.
Space group I-4 (No. 82)
Unique sites:
Cu  0.0000  0.0000  0.0000 [2 per cell]  4 O 1.98
Ag  0.0000  0.0000  0.5000 [2 per cell]  4 O 2.38
As  0.0000  0.5000  0.7500 [2 per cell]  4 O 1.74
O  0.1504  0.7030  0.9072 [8 per cell]  1 As 1.74

---

Entry 4:
Entry from the Alexandria database: an optimized crystal structure of ZnCoTc3 (GGA-PBE).

Results
For the offset from the most stable computed form, the calculation gives 690 meV/atom. Its formation energy is 2.010 eV/atom.

abc: 4.4263 4.4263 4.4263
angles: 90.00 90.00 90.00
Last column: nearest neighbours and their distance in Å.
Space group Pm-3m (No. 221)
Unique sites:
Zn  0.0000  0.0000  0.0000 [1 per cell]  6 Tc 2.21
Co  0.5000  0.5000  0.5000 [1 per cell]  12 Tc 3.13
Tc  0.0000  0.0000  0.5000 [3 per cell]  2 Zn 2.21

---

no.,theoretical density (g cm⁻³)
1,3.2
2,11.0
3,5.1
4,8.0